Entry 1:
## K6IrCl12 (GGA-PBE)

Data for a geometry-optimized K6IrCl12 structure.

a b c (Å): 8.902 8.902 8.902
angles (deg): 91.07 91.07 91.07
Each line ends with the local moment (μB).
Element x y z (fractional)
Cl 0.848 0.392 0.545  0.18
Cl 0.608 0.455 0.152  0.18
Cl 0.000 0.004 0.262  0.08
Cl 0.152 0.608 0.455  0.18
Cl 0.545 0.848 0.392  0.18
Cl 0.455 0.152 0.608  0.18
Cl 0.738 0.000 0.996  0.08
Cl 0.000 0.996 0.738  0.08
Cl 0.996 0.738 0.000  0.08
Cl 0.262 0.000 0.004  0.08
Cl 0.004 0.262 0.000  0.08
Cl 0.392 0.545 0.848  0.18
Ir 0.000 0.000 0.000  0.93
K 0.667 0.168 0.333  0.00
K 0.168 0.333 0.667  0.00
K 0.667 0.333 0.832  0.00
K 0.333 0.832 0.667  0.00
K 0.333 0.667 0.168  0.00
K 0.832 0.667 0.333  0.00

Values from the calculation:
magnetic moment: 3.09 μB/cell
space-group type: R-3
total energy: -61.760 eV per formula unit


Entry 2:
## KIrCl2 (GGA-PBE)

Data for a geometry-optimized KIrCl2 structure.

a b c (Å): 7.289 7.289 7.289
angles (deg): 148.92 148.92 44.53
Each line ends with the local moment (μB).
Element x y z (fractional)
Cl 0.250 0.750 0.500  0.04
Cl 0.000 0.000 0.000  0.01
K 0.750 0.250 0.500  0.00
Ir 0.500 0.500 0.000  1.37

Values from the calculation:
magnetic moment: 1.60 μB/cell
space-group type: I-4m2
total energy: -13.008 eV per formula unit


Entry 3:
## KIrCl2 (GGA-PBE)

Data for a geometry-optimized KIrCl2 structure.

a b c (Å): 3.657 3.657 7.227
angles (deg): 90.00 90.00 90.00
Each line ends with the local moment (μB).
Element x y z (fractional)
Ir 0.000 0.000 0.340  0.93
Cl 0.000 0.000 0.997  0.07
Cl 0.500 0.500 0.372  0.04
K 0.500 0.500 0.790  0.01

Values from the calculation:
magnetic moment: 1.29 μB/cell
space-group type: P4mm
total energy: -14.117 eV per formula unit


Entry 4:
## KIrCl2 (GGA-PBE)

Data for a geometry-optimized KIrCl2 structure.

a b c (Å): 3.638 5.406 5.455
angles (deg): 76.83 90.00 90.00
Element x y z (fractional)
Cl 0.000 0.425 0.427
Cl 0.000 0.075 0.073
K 0.500 0.750 0.750
Ir 0.500 0.250 0.250

Values from the calculation:
magnetic moment: 0.00 μB/cell
space-group type: P2/m
total energy: -15.497 eV per formula unit


Record-wise E_form (uncorrected) values, in eV/atom: -1.2713; 0.1610; -0.1162; -0.4613